A plane-wave DFT calculation with GGA-PBE was carried out for a relaxed structure of Y3TmSc3Se8.

Values from the calculation:
* total energy: -0.4759 Ry/atom
* density: 5.6 g/cm³
* E_form (uncorrected): -1760 meV per atom

Unit cell a=7.9139 b=7.9139 c=19.5935 alpha=90.00 beta=90.00 gamma=120.00
Space group R-3m (No. 166, hexagonal axes)
Symmetry-distinct sites (fractional):
Y 0.0000 0.5000 0.0000 [9 per cell]
Tm 0.0000 0.0000 0.5000 [3 per cell]
Sc 0.0000 0.5000 0.5000 [9 per cell]
Se 0.0000 0.0000 0.2447 [6 per cell]
Se 0.0123 0.5062 0.7521 [18 per cell]

***

A plane-wave DFT calculation with GGA-PBE was carried out for a relaxed structure of CuSbIr2.

Values from the calculation:
* total energy: -0.4531 Ry/atom
* density: 14.9 g/cm³
* E_form (uncorrected): 320 meV per atom

Unit cell a=6.338 b=6.338 c=6.338 alpha=90.00 beta=90.00 gamma=90.00
Space group F-43m (No. 216)
Symmetry-distinct sites (fractional):
Cu 0.000 0.000 0.000 [4 per cell]
Sb 0.250 0.250 0.750 [4 per cell]
Ir 0.000 0.000 0.500 [4 per cell]
Ir 0.250 0.250 0.250 [4 per cell]

***

A plane-wave DFT calculation with GGA-PBE was carried out for a relaxed structure of CrPb2Se.

Values from the calculation:
* total energy: -0.3514 Ry/atom
* density: 8.6 g/cm³
* E_form (uncorrected): 350 meV per atom

Unit cell a=8.129 b=8.129 c=6.407 alpha=90.00 beta=90.00 gamma=90.00
Space group I-42d (No. 122)
Symmetry-distinct sites (fractional):
Cr 0.000 0.000 0.000 [4 per cell]
Pb 0.242 0.750 0.125 [8 per cell]
Se 0.000 0.000 0.500 [4 per cell]

***

A plane-wave DFT calculation with GGA-PBE was carried out for a relaxed structure of KCd2As.

Values from the calculation:
* total energy: -0.1435 Ry/atom
* density: 4.4 g/cm³
* calculated formation energy: -0.06 eV/atom

Unit cell a=8.908 b=8.908 c=6.457 alpha=90.00 beta=90.00 gamma=90.00
Space group I-42d (No. 122)
Symmetry-distinct sites (fractional):
K 0.000 0.000 0.000 [4 per cell]
Cd 0.158 0.250 0.625 [8 per cell]
As 0.000 0.000 0.500 [4 per cell]

***

A plane-wave DFT calculation with GGA-PBE was carried out for a relaxed structure of Nd2HgN.

Values from the calculation:
* total energy: -0.4007 Ry/atom
* density: 9.2 g/cm³
* E above lowest polymorph: 0 meV per atom
* E_form (uncorrected): -911 meV per atom

Unit cell a=3.592 b=19.576 c=5.150 alpha=90.00 beta=90.00 gamma=90.00
Space group Cmcm (No. 63)
Symmetry-distinct sites (fractional):
Nd 0.000 0.108 0.250 [4 per cell]
Nd 0.000 0.289 0.250 [4 per cell]
Hg 0.000 0.456 0.250 [4 per cell]
N 0.000 0.302 0.750 [4 per cell]

***

A plane-wave DFT calculation with GGA-PBE was carried out for a relaxed structure of MgBeRe2.

Values from the calculation:
* total energy: -0.5016 Ry/atom
* density: 12.3 g/cm³
* calculated formation energy: 0.73 eV/atom
* E above lowest polymorph: 678 meV per atom

Unit cell a=6.022 b=6.022 c=6.022 alpha=90.00 beta=90.00 gamma=90.00
Space group Fm-3m (No. 225)
Symmetry-distinct sites (fractional):
Mg 0.000 0.000 0.000 [4 per cell]
Be 0.000 0.000 0.500 [4 per cell]
Re 0.250 0.250 0.250 [8 per cell]

***

A plane-wave DFT calculation with GGA-PBE was carried out for a relaxed structure of K3HOs.

Values from the calculation:
* total energy: -0.1704 Ry/atom
* density: 2.2 g/cm³

Unit cell a=6.120 b=6.120 c=6.120 alpha=90.00 beta=90.00 gamma=90.00
Space group Pm-3m (No. 221)
Symmetry-distinct sites (fractional):
K 0.000 0.000 0.500 [3 per cell]
H 0.500 0.500 0.500 [1 per cell]
Os 0.000 0.000 0.000 [1 per cell]

***

A plane-wave DFT calculation with GGA-PBE was carried out for a relaxed structure of U4Ge6Ru7.

Values from the calculation:
* total energy: -0.6331 Ry/atom
* density: 12.1 g/cm³
* calculated formation energy: -0.51 eV/atom

Unit cell a=8.326 b=8.326 c=8.326 alpha=90.00 beta=90.00 gamma=90.00
Space group Im-3m (No. 229)
Symmetry-distinct sites (fractional):
U 0.250 0.250 0.250 [8 per cell]
Ge 0.000 0.000 0.309 [12 per cell]
Ru 0.000 0.000 0.000 [2 per cell]
Ru 0.000 0.250 0.500 [12 per cell]

***

A plane-wave DFT calculation with GGA-PBE was carried out for a relaxed structure of DyErRe.

Values from the calculation:
* total energy: -0.5237 Ry/atom
* density: 11.8 g/cm³
* calculated formation energy: 0.08 eV/atom

Unit cell a=5.156 b=16.501 c=3.427 alpha=90.00 beta=90.00 gamma=90.00
Space group Cmcm (No. 63)
Symmetry-distinct sites (fractional):
Dy 0.000 0.087 0.250 [4 per cell]
Er 0.000 0.289 0.750 [4 per cell]
Re 0.000 0.446 0.250 [4 per cell]

***

A plane-wave DFT calculation with GGA-PBE was carried out for a relaxed structure of CsPN2O.

Values from the calculation:
* total energy: -0.2050 Ry/atom
* density: 4.1 g/cm³
* E_form (uncorrected): 2786 meV per atom

Unit cell a=4.461 b=4.461 c=4.219 alpha=90.00 beta=90.00 gamma=90.00
Space group P4/mmm (No. 123)
Symmetry-distinct sites (fractional):
Cs 0.000 0.000 0.000 [1 per cell]
P 0.500 0.500 0.500 [1 per cell]
N 0.000 0.500 0.000 [2 per cell]
O 0.000 0.000 0.500 [1 per cell]

***

A plane-wave DFT calculation with GGA-PBE was carried out for a relaxed structure of Y2MgSb.

Values from the calculation:
* total energy: -0.3734 Ry/atom
* density: 4.8 g/cm³
* E above lowest polymorph: 175 meV per atom
* E_form (uncorrected): -419 meV per atom

Unit cell a=4.199 b=4.199 c=6.392 alpha=90.00 beta=90.00 gamma=90.00
Space group P4mm (No. 99)
Symmetry-distinct sites (fractional):
Y 0.000 0.000 0.000 [1 per cell]
Y 0.500 0.500 0.301 [1 per cell]
Mg 0.000 0.000 0.509 [1 per cell]
Sb 0.500 0.500 0.799 [1 per cell]

***

A plane-wave DFT calculation with GGA-PBE was carried out for a relaxed structure of AlZn2In.

Values from the calculation:
* total energy: -0.1560 Ry/atom
* density: 5.9 g/cm³
* calculated formation energy: 0.13 eV/atom
* E above lowest polymorph: 49 meV per atom

Unit cell a=3.345 b=4.364 c=5.407 alpha=90.00 beta=104.75 gamma=90.00
Space group Pm (No. 6)
Symmetry-distinct sites (fractional):
Al 0.000 0.000 0.000 [1 per cell]
Zn 0.281 0.000 0.547 [1 per cell]
Zn 0.417 0.500 0.841 [1 per cell]
In 0.700 0.500 0.363 [1 per cell]